This record from Alexandria via LeMat-Bulk describes a relaxed structure of Nd2SmY6. The functional is PBE.

extended XYZ file:
```
18
Lattice="6.490 -7.168 0.000 6.490 7.168 0.000 -1.488 0.000 6.459" Properties=species:S:1:pos:R:3 pbc="T T T"
Nd 1.268 0.371 2.406
Nd 0.524 -0.371 5.635
Nd 10.968 0.371 0.824
Nd 10.224 -0.371 4.054
Sm 5.374 1.704 4.844
Sm 6.118 -1.704 1.615
Y 2.038 2.875 4.714
Y 4.553 4.466 6.440
Y 6.196 4.466 3.249
Y 4.471 1.237 1.196
Y 2.782 -2.875 1.485
Y 3.727 -1.237 4.426
Y 7.765 1.237 2.033
Y 8.710 2.875 4.975
Y 7.022 -1.237 5.263
Y 5.297 -4.466 3.211
Y 6.939 -4.466 0.019
Y 9.454 -2.875 1.745
```

Space-group type: C2/c, No. 15
Formation enthalpy at 0 K (eV/atom): 0.0993
D(E_F) (states/eV per atom): 1.41
Size of the total moment (μB per formula unit): 0.0

This record from Alexandria via LeMat-Bulk describes a relaxed structure of Pr5Sm2Er5. The functional is PBE.

extended XYZ file:
```
12
Lattice="7.668 -2.546 0.000 7.668 2.546 0.000 -5.140 0.000 10.250" Properties=species:S:1:pos:R:3 pbc="T T T"
Pr 0.000 0.000 0.000
Pr -0.039 0.000 5.108
Pr 2.557 0.000 2.533
Pr 7.639 0.000 7.717
Pr 10.235 0.000 5.143
Sm -2.598 0.000 7.713
Sm 12.793 0.000 2.537
Er -0.034 0.000 10.245
Er 2.552 0.000 7.703
Er 5.098 0.000 5.125
Er 7.644 0.000 2.547
Er 10.230 0.000 0.005
```

Space-group type: C2/m, No. 12
Formation enthalpy at 0 K (eV/atom): 0.0196
D(E_F) (states/eV per atom): 1.46
Size of the total moment (μB per formula unit): 0.0

This record from Alexandria via LeMat-Bulk describes a relaxed structure of K4HClF2. The functional is PBE.

extended XYZ file:
```
8
Lattice="0.000 5.675 4.139 4.139 0.000 4.139 4.139 5.675 0.000" Properties=species:S:1:pos:R:3 pbc="T T T"
K 4.139 2.648 4.139
K 6.206 5.675 6.202
K 4.139 8.703 4.139
K 2.072 5.675 6.202
H 4.139 5.675 8.267
Cl 4.139 5.675 4.129
F 2.070 2.838 2.063
F 6.209 8.513 6.203
```

Energy (eV per cell): -28.120
Space-group type: Fmm2, No. 42
D(E_F) (states/eV per atom): 0.00
Size of the total moment (μB per formula unit): 0.0

This record from Alexandria via LeMat-Bulk describes a relaxed structure of CaGd2Dy. The functional is PBE.

extended XYZ file:
```
4
Lattice="1.780 1.028 12.543 -1.780 1.028 12.543 0.000 -2.056 12.543" Properties=species:S:1:pos:R:3 pbc="T T T"
Ca 0.000 0.000 0.000
Gd 0.000 0.000 3.418
Gd 0.000 0.000 34.213
Dy 0.000 0.000 18.815
```

Energy relative to the lowest polymorph listed for this composition (eV/atom): 0.0871
Space-group type: R-3m, No. 166
Formation enthalpy at 0 K (eV/atom): 0.1419
D(E_F) (states/eV per atom): 1.32
Size of the total moment (μB per formula unit): 14.9

This record from Alexandria via LeMat-Bulk describes a relaxed structure of Tb2TlSn. The functional is PBE.

extended XYZ file:
```
4
Lattice="5.018 0.000 0.000 0.000 5.018 0.000 0.000 0.000 4.317" Properties=species:S:1:pos:R:3 pbc="T T T"
Tb 0.000 2.509 0.000
Tb 2.509 0.000 0.000
Tl 0.000 0.000 2.158
Sn 2.509 2.509 2.158
```

Space-group type: P4/mmm, No. 123
Formation enthalpy at 0 K (eV/atom): -0.5070
D(E_F) (states/eV per atom): 0.71
Size of the total moment (μB per formula unit): 0.0

This record from Alexandria via LeMat-Bulk describes a relaxed structure of Nd3Tm2Cd3. The functional is PBE.

extended XYZ file:
```
8
Lattice="-1.871 2.752 11.269 1.871 -2.752 11.269 1.871 2.752 -11.269" Properties=species:S:1:pos:R:3 pbc="T T T"
Nd 0.000 0.000 0.000
Nd 1.871 0.000 8.449
Nd 0.000 2.752 2.820
Tm 0.000 0.000 5.300
Tm 0.000 0.000 17.238
Cd 1.871 0.000 2.752
Cd 0.000 0.000 11.269
Cd 0.000 2.752 8.517
```

Space-group type: Immm, No. 71
Formation enthalpy at 0 K (eV/atom): -0.2309
D(E_F) (states/eV per atom): 1.38
Size of the total moment (μB per formula unit): 0.5

This record from Alexandria via LeMat-Bulk describes a relaxed structure of TaGe2O. The functional is PBE.

extended XYZ file:
```
8
Lattice="-3.027 3.027 3.466 3.027 -3.027 3.466 3.027 3.027 -3.466" Properties=species:S:1:pos:R:3 pbc="T T T"
Ta 0.000 0.000 0.000
Ta 0.000 3.027 1.733
Ge 1.513 -1.053 2.599
Ge 1.974 1.513 0.866
Ge 1.513 4.080 -0.866
Ge 1.053 1.513 4.332
O 3.027 0.000 1.733
O 0.000 0.000 3.466
```

Raw formation energy (eV per atom): 0.00
Space-group type: I-42d, No. 122
D(E_F) (states/eV per atom): 0.58
Size of the total moment (μB per formula unit): 0.0

This record from Alexandria via LeMat-Bulk describes a relaxed structure of Pr4Sm2DyTh. The functional is PBE.

extended XYZ file:
```
8
Lattice="6.115 0.000 0.000 0.000 6.126 0.000 -0.016 0.000 7.349" Properties=species:S:1:pos:R:3 pbc="T T T"
Pr -0.003 0.000 1.799
Pr 6.102 0.000 5.550
Pr 3.051 3.063 1.797
Pr 3.048 3.063 5.552
Sm 0.000 3.063 0.000
Sm 3.050 0.000 3.675
Dy -0.008 3.063 3.675
Th 3.057 0.000 0.000
```

Space-group type: P2/m, No. 10
Formation enthalpy at 0 K (eV/atom): 0.1340
D(E_F) (states/eV per atom): 1.97
Size of the total moment (μB per formula unit): 0.0

This record from Alexandria via LeMat-Bulk describes a relaxed structure of ZnInCo2. The functional is PBE.

extended XYZ file:
```
4
Lattice="2.855 0.000 0.000 0.000 4.048 0.000 -1.407 0.000 5.059" Properties=species:S:1:pos:R:3 pbc="T T T"
Zn 0.000 0.000 0.000
In 0.006 2.024 3.333
Co 1.430 2.024 0.967
Co 1.431 0.000 2.116
```

Space-group type: Pm, No. 6
Formation enthalpy at 0 K (eV/atom): 0.1885
D(E_F) (states/eV per atom): 0.82
Size of the total moment (μB per formula unit): 2.6

This record from Alexandria via LeMat-Bulk describes a relaxed structure of CsZr2Br. The functional is PBE.

extended XYZ file:
```
4
Lattice="0.000 3.701 3.701 3.701 0.000 3.701 3.701 3.701 0.000" Properties=species:S:1:pos:R:3 pbc="T T T"
Cs 0.000 0.000 0.000
Zr 1.850 1.850 1.850
Zr 5.551 5.551 5.551
Br 3.701 3.701 3.701
```

Raw formation energy (eV per atom): 1.11
Space-group type: Fm-3m, No. 225
D(E_F) (states/eV per atom): 1.28
Size of the total moment (μB per formula unit): 2.7

This record from Alexandria via LeMat-Bulk describes a relaxed structure of TbZnPd. The functional is PBE.

extended XYZ file:
```
3
Lattice="0.000 3.244 3.244 3.244 0.000 3.244 3.244 3.244 0.000" Properties=species:S:1:pos:R:3 pbc="T T T"
Tb 0.000 0.000 0.000
Zn 3.244 3.244 3.244
Pd 1.622 1.622 1.622
```

Space-group type: F-43m, No. 216
Formation enthalpy at 0 K (eV/atom): -0.5550
D(E_F) (states/eV per atom): 0.48
Size of the total moment (μB per formula unit): 0.0

This record from Alexandria via LeMat-Bulk describes a relaxed structure of KCu2Sb2S6. The functional is PBE.

extended XYZ file:
```
11
Lattice="6.898 0.000 0.000 3.446 6.613 0.000 3.443 0.302 7.263" Properties=species:S:1:pos:R:3 pbc="T T T"
K 0.000 0.000 0.000
Cu 6.893 3.812 5.234
Cu 6.893 3.104 2.029
Sb 6.892 6.353 3.111
Sb 6.894 0.563 4.152
S 5.251 5.246 4.675
S 6.898 1.854 6.180
S 5.246 1.679 2.602
S 8.541 5.237 4.661
S 6.888 5.062 1.083
S 8.536 1.669 2.588
```

Raw formation energy (eV per atom): -0.26
Space-group type: P-1, No. 2
D(E_F) (states/eV per atom): 0.30
Size of the total moment (μB per formula unit): 0.0